Here is an optimized crystal structure of CeGa3Pd from the Alexandria database. Energies are from GGA-PBE.

Geometry as POSCAR:
```
CeGa3Pd
1.0
4.324 0.000 0.000
0.000 8.393 0.000
0.000 0.000 10.750
Ga Ce Pd
12 4 4
direct
0.750 0.132 0.789
0.250 0.887 0.814
0.250 0.070 0.406
0.750 0.632 0.711
0.250 0.868 0.211
0.250 0.368 0.289
0.250 0.570 0.094
0.750 0.430 0.906
0.750 0.930 0.594
0.750 0.113 0.186
0.750 0.613 0.314
0.250 0.387 0.686
0.750 0.306 0.484
0.750 0.806 0.016
0.250 0.694 0.516
0.250 0.194 0.984
0.750 0.408 0.148
0.250 0.592 0.852
0.750 0.908 0.352
0.250 0.092 0.648
```

SG ... Pnma
ΔH_f (0 K) ... -633.8 meV per atom
Total DFT energy (no corrections) ... -0.34363 Ry/atom